A relaxed Ta2AgHg crystal, computed with PBE.

Cell: 3.0299 3.9813 6.2374 Å, 90.00 90.00 90.00°
Fractional coordinates of all 4 atoms:
1 Ta 0.0000 0.0000 0.0000
2 Ta 0.5000 0.5000 0.2265
3 Ag 0.0000 0.0000 0.4871
4 Hg 0.5000 0.5000 0.7291

Calculated values
- DFT formation energy (eV per atom) = 0.30
- final energy (eV/cell) = -25.676
- DOS(E_F) (states/eV/cell) = 2.17



A relaxed MgZrSe2 crystal, computed with PBE.

Cell: 3.8515 3.8515 24.4343 Å, 90.00 90.00 120.00°
Fractional coordinates of all 12 atoms:
1 Mg 0.0000 0.0000 0.0000
2 Mg 0.3333 0.6667 0.6667
3 Mg 0.6667 0.3333 0.3333
4 Zr 0.0000 0.0000 0.5000
5 Zr 0.3333 0.6667 0.1667
6 Zr 0.6667 0.3333 0.8333
7 Se 0.0000 0.0000 0.3959
8 Se 0.0000 0.0000 0.6041
9 Se 0.3333 0.6667 0.0626
10 Se 0.3333 0.6667 0.2708
11 Se 0.6667 0.3333 0.7292
12 Se 0.6667 0.3333 0.9374

Calculated values
- formation energy from raw total energies (meV/atom) = -569
- final energy (eV/cell) = -58.162
- DOS(E_F) (states/eV/cell) = 2.88



A relaxed KIn2HgAu crystal, computed with PBE.

Cell: 5.2631 5.2631 6.4007 Å, 90.00 90.00 90.00°
Fractional coordinates of all 5 atoms:
1 K 0.0000 0.0000 0.0000
2 In 0.0000 0.5000 0.5000
3 In 0.5000 0.0000 0.5000
4 Hg 0.5000 0.5000 0.0000
5 Au 0.0000 0.0000 0.5000

Calculated values
- polymorph energy (0 for the lowest one) (eV/atom) = 0.000
- DFT formation energy (eV per atom) = -0.07
- final energy (eV/cell) = -10.479
- DOS(E_F) (states/eV/cell) = 1.26



A relaxed Ta2SiF crystal, computed with PBE.

Cell: 4.0594 4.0594 16.5235 Å, 90.00 90.00 90.00°
Fractional coordinates of all 16 atoms:
1 Ta 0.2484 0.2500 0.1250
2 Ta 0.2500 0.7484 0.3750
3 Ta 0.2500 0.7516 0.8750
4 Ta 0.2516 0.2500 0.6250
5 Ta 0.7484 0.7500 0.6250
6 Ta 0.7500 0.2484 0.8750
7 Ta 0.7500 0.2516 0.3750
8 Ta 0.7516 0.7500 0.1250
9 Si 0.0000 0.0000 0.0000
10 Si 0.0000 0.5000 0.2500
11 Si 0.5000 0.0000 0.7500
12 Si 0.5000 0.5000 0.5000
13 F 0.0000 0.0000 0.5000
14 F 0.0000 0.5000 0.7500
15 F 0.5000 0.0000 0.2500
16 F 0.5000 0.5000 0.0000

Calculated values
- polymorph energy (0 for the lowest one) (eV/atom) = 0.500
- formation energy from raw total energies (meV/atom) = 67
- final energy (eV/cell) = -122.929
- DOS(E_F) (states/eV/cell) = 12.68